No. 1
Below is a geometry-optimized Pb3IBr5 structure, with properties calculated at the GGA-PBE level.

The final energy is -3.185 eV per atom. The calculation puts the uncorrected formation energy at -847.5 meV per atom.

```
data_Pb3IBr5
_cell_length_a 8.6197
_cell_length_b 8.6197
_cell_length_c 11.3528
_cell_angle_alpha 109.13
_cell_angle_beta 109.13
_cell_angle_gamma 71.65
_space_group_name_H-M_alt 'P 1'
_space_group_IT_number 1
_space_group_name_Hall 'P 1'
loop_
_atom_site_label
_atom_site_fract_x
_atom_site_fract_y
_atom_site_fract_z
Pb1 0.0000 0.0000 0.0000
Pb2 0.0000 0.0000 0.5000
Pb3 0.3301 0.3301 0.3330
Pb4 0.3489 0.3489 0.8253
Pb5 0.6511 0.6511 0.1747
Pb6 0.6699 0.6699 0.6670
I1 0.1144 0.1144 0.8079
I2 0.8856 0.8856 0.1921
Br1 0.0376 0.6427 0.8228
Br2 0.2304 0.2304 0.5283
Br3 0.3046 0.6954 0.5000
Br4 0.3573 0.9624 0.1772
Br5 0.4178 0.4178 0.1189
Br6 0.5822 0.5822 0.8811
Br7 0.6427 0.0376 0.8228
Br8 0.6954 0.3046 0.5000
Br9 0.7696 0.7696 0.4717
Br10 0.9624 0.3573 0.1772
```

No. 2
Below is a geometry-optimized PbIBr structure, with properties calculated at the GGA-PBE level.

The final energy is -3.058 eV per atom. Its polymorph energy (0 for the lowest one) is 34 meV/atom. The calculation puts the uncorrected formation energy at -747.5 meV per atom.

```
data_PbIBr
_cell_length_a 8.5971
_cell_length_b 4.3922
_cell_length_c 12.3559
_cell_angle_alpha 90.00
_cell_angle_beta 90.00
_cell_angle_gamma 90.00
_space_group_name_H-M_alt 'P 1'
_space_group_IT_number 1
_space_group_name_Hall 'P 1'
loop_
_atom_site_label
_atom_site_fract_x
_atom_site_fract_y
_atom_site_fract_z
Pb1 0.1285 0.2500 0.1422
Pb2 0.3715 0.7500 0.6422
Pb3 0.6285 0.2500 0.3578
Pb4 0.8715 0.7500 0.8578
I1 0.0327 0.2500 0.7027
I2 0.4673 0.7500 0.2027
I3 0.5327 0.2500 0.7973
I4 0.9673 0.7500 0.2973
Br1 0.1772 0.7500 0.9658
Br2 0.3228 0.2500 0.4658
Br3 0.6772 0.7500 0.5342
Br4 0.8228 0.2500 0.0342
```

No. 3
Below is a geometry-optimized PbIBr structure, with properties calculated at the GGA-PBE level.

The final energy is -3.091 eV per atom. Its polymorph energy (0 for the lowest one) is 2 meV/atom. The calculation puts the uncorrected formation energy at -780.3 meV per atom.

```
data_PbIBr
_cell_length_a 8.4032
_cell_length_b 8.4032
_cell_length_c 7.9084
_cell_angle_alpha 115.59
_cell_angle_beta 115.59
_cell_angle_gamma 31.54
_space_group_name_H-M_alt 'P 1'
_space_group_IT_number 1
_space_group_name_Hall 'P 1'
loop_
_atom_site_label
_atom_site_fract_x
_atom_site_fract_y
_atom_site_fract_z
Pb1 0.2503 0.2503 0.2455
Pb2 0.7497 0.7497 0.7545
I1 0.3811 0.3811 0.7036
I2 0.6189 0.6189 0.2964
Br1 0.1363 0.1363 0.8123
Br2 0.8637 0.8637 0.1877
```

No. 4
Below is a geometry-optimized Pb2IBr3 structure, with properties calculated at the GGA-PBE level.

The final energy is -3.176 eV per atom. The calculation puts the uncorrected formation energy at -845.1 meV per atom.

```
data_Pb2IBr3
_cell_length_a 9.0338
_cell_length_b 9.0338
_cell_length_c 7.0872
_cell_angle_alpha 90.00
_cell_angle_beta 90.00
_cell_angle_gamma 120.00
_space_group_name_H-M_alt 'P 1'
_space_group_IT_number 1
_space_group_name_Hall 'P 1'
loop_
_atom_site_label
_atom_site_fract_x
_atom_site_fract_y
_atom_site_fract_z
Pb1 0.0000 0.0000 0.0000
Pb2 0.0000 0.5000 0.0000
Pb3 0.5000 0.0000 0.0000
Pb4 0.5000 0.5000 0.0000
I1 0.3333 0.6667 0.2773
I2 0.6667 0.3333 0.7227
Br1 0.1670 0.3340 0.7682
Br2 0.1670 0.8330 0.7682
Br3 0.3340 0.1670 0.2318
Br4 0.6660 0.8330 0.7682
Br5 0.8330 0.1670 0.2318
Br6 0.8330 0.6660 0.2318
```

Number 1: size of the total moment 0.00 μB/f.u.. Number 2: size of the total moment 0.00 μB/f.u.. Number 3: size of the total moment 0.00 μB/f.u.. Number 4: size of the total moment 0.00 μB/f.u..